[1]
The following is a DFT calculation (PBE) of an optimized crystal structure of CeAgH6Pt2.

Geometry as POSCAR:
```
CeAgH6Pt2
1.0
4.7884 0.0000 0.0000
2.3942 4.1469 0.0000
2.3942 1.3823 5.1572
Ce Ag H Pt
1 1 6 2
direct
0.0000 0.0000 0.0000 Ce
0.5000 0.5000 0.5000 Ag
0.0579 0.5614 0.8196 H
0.5611 0.0579 0.8196 H
0.4386 0.4389 0.1804 H
0.9421 0.4386 0.1804 H
0.4389 0.9421 0.1804 H
0.5614 0.5611 0.8196 H
0.7869 0.7869 0.6393 Pt
0.2131 0.2131 0.3607 Pt
```

Output
The total energy comes out at -43.4 eV/cell. The total moment comes out at 0.77 Bohr magnetons per cell.

[2]
The following is a DFT calculation (PBE) of an optimized crystal structure of CeAgH6Rh.

Geometry as POSCAR:
```
CeAgH6Rh
1.0
4.7912 0.0000 -0.0001
2.3956 4.1492 0.0001
0.0001 -0.0001 4.4005
Ce Ag H Rh
1 1 6 1
direct
0.0000 0.0000 0.0000 Ce
0.6666 0.6667 0.5000 Ag
0.0365 0.4812 0.2255 H
0.4811 0.0366 0.7745 H
0.4823 0.4812 0.7745 H
0.0365 0.4823 0.7745 H
0.4811 0.4823 0.2255 H
0.4823 0.0366 0.2255 H
0.3333 0.3333 0.5000 Rh
```

Output
The total energy comes out at -38.2 eV/cell. The total moment comes out at 0.95 Bohr magnetons per cell.

[3]
The following is a DFT calculation (PBE) of an optimized crystal structure of Ce2Ag3HSe6.

Geometry as POSCAR:
```
Ce2Ag3HSe6
1.0
-2.1330 -3.8270 -0.7606
4.2520 -3.2744 4.5514
-6.2108 4.9801 5.3581
Ce Ag H Se
2 3 1 6
direct
0.8651 0.5645 0.7301 Ce
0.1349 0.4355 0.2699 Ce
0.5000 0.5000 0.0000 Ag
0.8078 0.0464 0.6156 Ag
0.1922 0.9536 0.3844 Ag
0.5000 0.0000 0.0000 H
0.4111 0.8274 0.8222 Se
0.7227 0.6847 0.4455 Se
0.5889 0.1726 0.1778 Se
0.9438 0.2759 0.8875 Se
0.0562 0.7241 0.1125 Se
0.2773 0.3153 0.5545 Se
```

Output
The total energy comes out at -53.7 eV/cell. The total moment comes out at 0.40 Bohr magnetons per cell.

[4]
The following is a DFT calculation (PBE) of an optimized crystal structure of CeTcAgH6.

Geometry as POSCAR:
```
CeTcAgH6
1.0
4.7871 -0.0002 -0.0002
2.3934 4.1457 0.0002
0.0000 0.0001 4.4680
Ce Tc Ag H
1 1 1 6
direct
0.0000 0.0000 0.9998 Ce
0.3333 0.3333 0.5001 Tc
0.6666 0.6667 0.4997 Ag
0.0416 0.4795 0.2158 H
0.4794 0.0414 0.7843 H
0.4791 0.4793 0.7842 H
0.0415 0.4791 0.7843 H
0.4793 0.4790 0.2158 H
0.4789 0.0417 0.2158 H
```

Output
The total energy comes out at -40.1 eV/cell. The total moment comes out at 0.12 Bohr magnetons per cell.

[5]
The following is a DFT calculation (PBE) of an optimized crystal structure of CeHfAg2.

Geometry as POSCAR:
```
CeHfAg2
1.0
-1.3282 -2.7063 -0.6937
1.2197 0.1293 -2.8399
7.2389 -4.2996 2.9133
Hf Ag Ce
1 2 1
direct
0.5000 0.5000 0.0000 Hf
0.0000 0.0000 0.7711 Ag
0.0000 0.0000 0.2289 Ag
0.5000 0.5000 0.5000 Ce
```

Output
The total energy comes out at -21.6 eV/cell. The total moment comes out at 0.54 Bohr magnetons per cell.

[6]
The following is a DFT calculation (PBE) of an optimized crystal structure of CeHf2Ag.

Geometry as POSCAR:
```
CeHf2Ag
1.0
3.1988 0.0000 0.0000
0.0000 3.1988 0.0000
0.0000 0.0000 8.7702
Hf Ag Ce
2 1 1
direct
0.0000 0.0000 0.7740 Hf
0.0000 0.0000 0.2260 Hf
0.5000 0.5000 0.0000 Ag
0.5000 0.5000 0.5000 Ce
```

Output
The total energy comes out at -28.4 eV/cell. The total moment comes out at 0.00 Bohr magnetons per cell.

[7]
The following is a DFT calculation (PBE) of an optimized crystal structure of CeHfInAg.

Geometry as POSCAR:
```
CeHfInAg
1.0
-0.8097 4.8232 -1.6221
-2.7158 0.8519 -4.2952
-4.7129 2.0614 0.2981
Hf Ag Ce In
1 1 1 1
direct
0.5000 0.5000 0.5000 Hf
0.2500 0.2500 0.2500 Ag
0.0000 0.0000 0.0000 Ce
0.7500 0.7500 0.7500 In
```

Output
The total energy comes out at -21.5 eV/cell. The total moment comes out at 2.14 Bohr magnetons per cell.

[8]
The following is a DFT calculation (PBE) of an optimized crystal structure of CeHfReAg.

Geometry as POSCAR:
```
CeHfReAg
1.0
4.8814 0.0000 0.0000
2.4407 4.2274 0.0000
2.4407 1.4091 3.9856
Re Hf Ag Ce
1 1 1 1
direct
0.7500 0.7500 0.7500 Re
0.5000 0.5000 0.5000 Hf
0.2500 0.2500 0.2500 Ag
0.0000 0.0000 0.0000 Ce
```

Output
The total energy comes out at -30.9 eV/cell. The total moment comes out at 0.38 Bohr magnetons per cell.

Question: Which formula does entry 8 have?
Answer: CeHfReAg

Question: Which of these has the lowest total moment?
Answer: CeHf2Ag

Question: Among the records above, which one has the highest total moment?
Answer: CeHfInAg